Crystalline SrNbP2S8 at its relaxed geometry, computed with PBE.

Uncorrected formation energy (eV/atom): -0.63
VASP energy (eV/atom): -5.258
SG: P-3

abc: 5.984 5.984 8.590
angles: 90.00 90.00 120.00
Fractional positions:
Sr 0.000 0.000 0.000
Nb 0.000 0.000 0.500
P 0.333 0.667 0.744
P 0.667 0.333 0.256
S 0.003 0.669 0.326
S 0.331 0.334 0.326
S 0.333 0.667 0.976
S 0.334 0.003 0.674
S 0.666 0.997 0.326
S 0.667 0.333 0.024
S 0.669 0.666 0.674
S 0.997 0.331 0.674



Crystalline Ta2NbPS at its relaxed geometry, computed with PBE.

Uncorrected formation energy (eV/atom): 0.82
VASP energy (eV/atom): -7.845
SG: P4/mmm

abc: 4.715 4.715 4.301
angles: 90.00 90.00 90.00
Fractional positions:
Ta 0.000 0.500 0.000
Ta 0.500 0.000 0.000
Nb 0.000 0.000 0.500
P 0.500 0.500 0.000
S 0.500 0.500 0.500



Crystalline TaNbPS2 at its relaxed geometry, computed with PBE.

Uncorrected formation energy (eV/atom): 0.63
VASP energy (eV/atom): -6.492
Excess energy over the best structure of this formula in the dataset (eV/atom): 0.290
SG: P4/mmm

abc: 4.673 4.673 4.886
angles: 90.00 90.00 90.00
Fractional positions:
Ta 0.000 0.000 0.000
Nb 0.500 0.500 0.500
P 0.500 0.500 0.000
S 0.000 0.500 0.500
S 0.500 0.000 0.500